one:
VASP calculation (PBE) on crystalline RbTcS2Cl at its relaxed geometry.

The structure belongs to space group P4/mmm (No. 123); the cell edges are 4.625, 4.625 and 5.408 Å and the angles 90.00°, 90.00° and 90.00°. The distinct sites, in fractional coordinates, are Rb at (0.000, 0.000, 0.000), Tc at (0.500, 0.500, 0.500), S at (0.000, 0.500, 0.500) and Cl at (0.500, 0.500, 0.000).

The calculation puts the density of states at the Fermi level at 1.1 states/eV per cell.

---

two:
VASP calculation (PBE) on crystalline RbTcS2Cl at its relaxed geometry.

The structure belongs to space group P4/mmm (No. 123); the cell edges are 5.395, 5.395 and 5.680 Å and the angles 90.00°, 90.00° and 90.00°. The distinct sites, in fractional coordinates, are Rb at (0.000, 0.000, 0.000), Tc at (0.500, 0.500, 0.500), S at (0.000, 0.500, 0.000) and Cl at (0.000, 0.000, 0.500).

The calculation puts the density of states at the Fermi level at 3.0 states/eV per cell.

---

Ranked by calculated energy, most stable first: one, two.

---

one:
VASP calculation (PBE) on crystalline RbZrS2Cl at its relaxed geometry.

The structure belongs to space group P4/mmm (No. 123); the cell edges are 5.378, 5.378 and 5.437 Å and the angles 90.00°, 90.00° and 90.00°. The distinct sites, in fractional coordinates, are Rb at (0.000, 0.000, 0.000), Zr at (0.500, 0.500, 0.500), S at (0.000, 0.500, 0.000) and Cl at (0.000, 0.000, 0.500).

The calculation puts the density of states at the Fermi level at 4.7 states/eV per cell.

---

two:
VASP calculation (PBE) on crystalline RbZrS2Cl at its relaxed geometry.

The structure belongs to space group P4/mmm (No. 123); the cell edges are 5.042, 5.042 and 5.251 Å and the angles 90.00°, 90.00° and 90.00°. The distinct sites, in fractional coordinates, are Rb at (0.000, 0.000, 0.000), Zr at (0.500, 0.500, 0.500), S at (0.000, 0.500, 0.500) and Cl at (0.500, 0.500, 0.000).

The calculation puts the density of states at the Fermi level at 0.5 states/eV per cell.

---

Ranked by calculated energy, most stable first: two, one.